Density functional theory data (GGA-PBE) for a relaxed structure of Tb2TiI.

Output
Its density of states at the Fermi level is 14.0 states/eV/cell. The total energy is -4.442 eV/atom. The value obtained for the formation energy from raw total energies is 0.2347 eV per atom. As for the total magnetization: 6.168 μB per cell.

Unit cell a=3.4987 b=3.4987 c=33.0848 alpha=90.00 beta=90.00 gamma=120.00
Space group R-3m (No. 166, hexagonal axes)
Asymmetric unit:
Tb 0.0000 0.0000 0.0898 (multiplicity 6)
Ti 0.0000 0.0000 0.0000 (multiplicity 3)
I 0.0000 0.0000 0.5000 (multiplicity 3)